(1)
A geometry-optimized ZnCd2SnF8 structure. Source: the Alexandria database, functional PBE-GGA.

Lattice parameters (Å, degrees): 5.081 7.095 5.233 90.00 90.47 90.00
Space group P2/m (No. 10)
Symmetry-distinct sites (fractional):
Zn 0.000 0.000 0.000 (multiplicity 1)
Cd 0.500 0.237 0.500 (multiplicity 2)
Sn 0.000 0.500 0.000 (multiplicity 1)
F 0.191 0.220 0.186 (multiplicity 4)
F 0.286 0.000 0.709 (multiplicity 2)
F 0.315 0.500 0.679 (multiplicity 2)

Calculated values
The volume comes out at 188.64 Å³/cell. The value obtained for the spin magnetization is 0.0 μB/cell. For the formation energy without anion corrections, the calculation gives -2.226 eV/atom.

***

(2)
A geometry-optimized ZrCd2SnF structure. Source: the Alexandria database, functional PBE-GGA.

Lattice parameters (Å, degrees): 4.894 4.894 4.493 90.00 90.00 90.00
Space group P4/mmm (No. 123)
Symmetry-distinct sites (fractional):
Zr 0.000 0.000 0.000 (multiplicity 1)
Cd 0.000 0.500 0.500 (multiplicity 2)
Sn 0.500 0.500 0.000 (multiplicity 1)
F 0.000 0.000 0.500 (multiplicity 1)

Calculated values
The volume comes out at 107.61 Å³/cell. The value obtained for the spin magnetization is 0.0 μB/cell. For the formation energy without anion corrections, the calculation gives -0.461 eV/atom.